Entry 1:
This record from the Alexandria database describes a relaxed structure of ZrBi2Br. The functional is GGA-PBE.

Geometry as extended XYZ:
```
8
Lattice="-2.2481 2.2481 11.6136 2.2481 -2.2481 11.6136 2.2481 2.2481 -11.6136" Properties=species:S:1:pos:R:3 pbc="T T T"
Zr 0.0000 0.0000 0.0000
Zr 0.0000 2.2481 5.8068
Bi 3.3721 1.0048 -2.9034
Bi 1.0048 1.1240 2.9034
Bi -1.1240 1.2433 8.7102
Bi 1.2433 1.1240 14.5170
Br 2.2481 0.0000 5.8068
Br 0.0000 0.0000 11.6136
```

Computed properties:
Uncorrected formation energy, kJ/mol of formula units: 36
Space group: I-42d
ΔE to the lowest computed polymorph, eV per atom: 0.000

=====

Entry 2:
This record from the Alexandria database describes a relaxed structure of ZrBiBr3. The functional is GGA-PBE.

Geometry as extended XYZ:
```
5
Lattice="5.4355 0.0000 0.0000 0.0000 5.4355 0.0000 0.0000 0.0000 5.4355" Properties=species:S:1:pos:R:3 pbc="T T T"
Zr 0.0000 0.0000 0.0000
Bi 2.7177 2.7177 2.7177
Br 0.0000 0.0000 2.7177
Br 0.0000 2.7177 0.0000
Br 2.7177 0.0000 0.0000
```

Computed properties:
Uncorrected formation energy, kJ/mol of formula units: -176
Space group: Pm-3m
ΔE to the lowest computed polymorph, eV per atom: 0.000

=====

Entry 3:
This record from the Alexandria database describes a relaxed structure of Zr3Bi10Br18. The functional is GGA-PBE.

Geometry as extended XYZ:
```
62
Lattice="14.9490 0.0000 0.0000 -7.4745 12.9462 0.0000 0.0000 0.0000 11.7219" Properties=species:S:1:pos:R:3 pbc="T T T"
Zr -4.1739 9.9399 0.0000
Zr 0.9532 4.3615 0.0000
Zr 4.2538 1.3553 5.8609
Zr 3.2207 11.5909 0.0000
Zr 6.5213 8.5847 5.8609
Zr 11.6484 3.0063 5.8609
Bi 0.0000 0.0000 4.2480
Bi 0.0000 0.0000 10.1089
Bi -2.5912 7.6829 5.8757
Bi -0.3273 6.7812 3.9246
Bi -0.2803 6.7885 7.9192
Bi -1.4553 9.7947 7.9192
Bi -1.4381 9.8390 3.9246
Bi 2.1165 6.8607 5.8757
Bi 0.4747 11.3488 5.8757
Bi 1.7654 9.2721 3.9246
Bi 1.7356 9.3092 7.9192
Bi 5.7389 3.6370 2.0582
Bi 5.7091 3.6741 9.7856
Bi 6.9998 1.5974 0.0148
Bi 5.3580 6.0855 0.0148
Bi 8.9126 3.1072 9.7856
Bi 8.9298 3.1515 2.0582
Bi 7.7548 6.1577 2.0582
Bi 7.8018 6.1650 9.7856
Bi 10.0657 5.2633 0.0148
Br -3.8887 8.1977 9.6216
Br -3.5129 8.0553 1.7365
Br -0.3954 2.8161 9.8666
Br -0.7691 3.7223 5.9317
Br -0.4759 3.3385 1.8425
Br -4.8380 11.8806 9.8666
Br -4.3453 11.6891 1.8425
Br -0.8727 6.1883 11.1828
Br -3.8664 11.7511 5.9317
Br 2.2411 1.7504 4.0056
Br 2.6533 2.0814 7.7035
Br 2.8390 2.5272 0.0707
Br -1.6790 10.6078 11.1828
Br 2.3194 5.4797 9.6216
Br 2.2548 5.8763 1.7365
Br 5.9053 0.7312 3.7607
Br 6.2165 0.9854 7.5975
Br 4.9229 3.8499 5.3219
Br 2.5516 9.0963 11.1828
Br 1.2580 11.9608 1.7365
Br 1.5692 12.2150 9.6216
Br 5.2196 7.0699 7.5975
Br 5.1551 7.4665 3.7607
Br 9.1535 2.3384 5.3219
Br 4.6355 10.4191 5.9317
Br 4.8212 10.8648 1.8425
Br 5.2334 11.1958 9.8666
Br 11.3409 1.1951 0.0707
Br 8.3472 6.7579 5.3219
Br 11.8198 1.2571 7.7035
Br 12.3125 1.0656 4.0056
Br 7.9504 9.6077 7.7035
Br 8.2436 9.2240 0.0707
Br 7.8699 10.1301 4.0056
Br 10.9874 4.8909 7.5975
Br 11.3631 4.7485 3.7607
```

Computed properties:
Uncorrected formation energy, kJ/mol of formula units: -2323
Space group: P6_3

=====

Entry 4:
This record from the Alexandria database describes a relaxed structure of ZrBi2Br. The functional is GGA-PBE.

Geometry as extended XYZ:
```
4
Lattice="0.0000 3.8174 3.8174 3.8174 0.0000 3.8174 3.8174 3.8174 0.0000" Properties=species:S:1:pos:R:3 pbc="T T T"
Zr 0.0000 0.0000 0.0000
Bi 1.9087 1.9087 1.9087
Bi 5.7261 5.7261 5.7261
Br 3.8174 3.8174 3.8174
```

Computed properties:
Uncorrected formation energy, kJ/mol of formula units: 82
Space group: Fm-3m
ΔE to the lowest computed polymorph, eV per atom: 0.119

=====

Entry 5:
This record from the Alexandria database describes a relaxed structure of ZrBiBr6. The functional is GGA-PBE.

Geometry as extended XYZ:
```
8
Lattice="3.5151 2.0294 6.3642 -3.5151 2.0294 6.3642 0.0000 -4.0589 6.3642" Properties=species:S:1:pos:R:3 pbc="T T T"
Zr 0.0000 0.0000 0.0000
Bi 0.0000 0.0000 9.5463
Br -2.4643 0.0959 7.8929
Br -1.3152 -2.0862 11.1997
Br 1.1491 -2.1821 7.8929
Br -1.1491 2.1821 11.1997
Br 1.3152 2.0862 7.8929
Br 2.4643 -0.0959 11.1997
```

Computed properties:
Uncorrected formation energy, kJ/mol of formula units: -743
Space group: R-3

=====

Entry 6:
This record from the Alexandria database describes a relaxed structure of ZrBiBr3. The functional is GGA-PBE.

Geometry as extended XYZ:
```
5
Lattice="5.8163 0.0000 0.0000 0.0000 5.8163 0.0000 0.0000 0.0000 5.8163" Properties=species:S:1:pos:R:3 pbc="T T T"
Zr 0.0000 0.0000 0.0000
Bi 2.9081 2.9081 2.9081
Br 0.0000 2.9081 2.9081
Br 2.9081 0.0000 2.9081
Br 2.9081 2.9081 0.0000
```

Computed properties:
Uncorrected formation energy, kJ/mol of formula units: 199
Space group: Pm-3m
ΔE to the lowest computed polymorph, eV per atom: 0.778

=====

Entry 7:
This record from the Alexandria database describes a relaxed structure of BiC. The functional is GGA-PBE.

Geometry as extended XYZ:
```
16
Lattice="10.5872 0.0000 0.0000 0.0000 10.5872 0.0000 0.0000 0.0000 3.8557" Properties=species:S:1:pos:R:3 pbc="T T T"
Bi 0.9735 2.7604 0.0000
Bi 1.7177 6.2796 1.9279
Bi 2.7604 9.6137 0.0000
Bi 4.3076 1.7177 1.9279
Bi 6.2796 8.8695 1.9279
Bi 7.8268 0.9735 0.0000
Bi 8.8695 4.3076 1.9279
Bi 9.6137 7.8268 0.0000
C 0.7321 4.0833 1.9279
C 1.3738 7.6774 0.0000
C 2.9098 1.3738 0.0000
C 4.0833 9.8551 1.9279
C 6.5039 0.7321 1.9279
C 7.6774 9.2134 0.0000
C 9.2134 2.9098 0.0000
C 9.8551 6.5039 1.9279
```

Computed properties:
Formation energy from the elements, eV/atom: 1.7314
Space group: P4/m
ΔE to the lowest computed polymorph, eV per atom: 0.118

=====

Entry 8:
This record from the Alexandria database describes a relaxed structure of Bi4C23. The functional is GGA-PBE.

Geometry as extended XYZ:
```
54
Lattice="7.6462 0.0000 0.0000 0.0000 7.6462 0.0000 0.0000 0.0000 7.6462" Properties=species:S:1:pos:R:3 pbc="T T T"
Bi 0.0000 0.0000 0.0000
Bi 0.0000 1.9115 3.8231
Bi 0.0000 5.7346 3.8231
Bi 1.9115 3.8231 0.0000
Bi 3.8231 0.0000 1.9115
Bi 3.8231 0.0000 5.7346
Bi 3.8231 3.8231 3.8231
Bi 5.7346 3.8231 0.0000
C 0.0000 2.2345 1.4019
C 0.0000 2.2345 6.2442
C 0.0000 3.8231 1.9115
C 0.0000 3.8231 5.7346
C 0.0000 5.4117 1.4019
C 0.0000 5.4117 6.2442
C 1.4019 0.0000 2.2345
C 1.4019 0.0000 5.4117
C 1.4452 1.4452 1.4452
C 1.4452 1.4452 6.2010
C 1.4452 6.2010 1.4452
C 1.4452 6.2010 6.2010
C 1.5886 3.8231 2.4211
C 1.5886 3.8231 5.2250
C 1.9115 0.0000 3.8231
C 2.2345 1.4019 0.0000
C 2.2345 6.2442 0.0000
C 2.3779 2.3779 2.3779
C 2.3779 2.3779 5.2682
C 2.3779 5.2682 2.3779
C 2.3779 5.2682 5.2682
C 2.4211 1.5886 3.8231
C 2.4211 6.0576 3.8231
C 3.8231 1.9115 0.0000
C 3.8231 2.4211 1.5886
C 3.8231 2.4211 6.0576
C 3.8231 5.2250 1.5886
C 3.8231 5.2250 6.0576
C 3.8231 5.7346 0.0000
C 5.2250 1.5886 3.8231
C 5.2250 6.0576 3.8231
C 5.2682 2.3779 2.3779
C 5.2682 2.3779 5.2682
C 5.2682 5.2682 2.3779
C 5.2682 5.2682 5.2682
C 5.4117 1.4019 0.0000
C 5.4117 6.2442 0.0000
C 5.7346 0.0000 3.8231
C 6.0576 3.8231 2.4211
C 6.0576 3.8231 5.2250
C 6.2010 1.4452 1.4452
C 6.2010 1.4452 6.2010
C 6.2010 6.2010 1.4452
C 6.2010 6.2010 6.2010
C 6.2442 0.0000 2.2345
C 6.2442 0.0000 5.4117
```

Computed properties:
Formation energy from the elements, eV/atom: 1.6808
Space group: Pm-3n

=====

Entry 9:
This record from the Alexandria database describes a relaxed structure of BiC. The functional is GGA-PBE.

Geometry as extended XYZ:
```
8
Lattice="-3.7851 3.7851 3.7851 3.7851 -3.7851 3.7851 3.7851 3.7851 -3.7851" Properties=species:S:1:pos:R:3 pbc="T T T"
Bi 1.2445 1.2445 -1.2445
Bi 1.2445 -1.2445 1.2445
Bi -1.2445 1.2445 1.2445
Bi 2.5406 2.5406 2.5406
C 2.5905 2.5905 -2.5905
C 2.5905 -2.5905 2.5905
C 1.1946 1.1946 1.1946
C -2.5905 2.5905 2.5905
```

Computed properties:
Formation energy from the elements, eV/atom: 1.8953
Space group: I-43m
ΔE to the lowest computed polymorph, eV per atom: 0.282

=====

Entry 10:
This record from the Alexandria database describes a relaxed structure of BiC. The functional is GGA-PBE.

Geometry as extended XYZ:
```
4
Lattice="3.7115 0.0000 0.0000 -1.8557 3.2142 0.0000 0.0000 0.0000 7.1421" Properties=species:S:1:pos:R:3 pbc="T T T"
Bi 0.0000 2.1428 0.0000
Bi 1.8557 1.0714 3.5711
C 0.0000 2.1428 4.5754
C 1.8557 1.0714 1.0043
```

Computed properties:
Formation energy from the elements, eV/atom: 1.6320
Space group: P6_3mc
ΔE to the lowest computed polymorph, eV per atom: 0.019

=====

Entry 11:
This record from the Alexandria database describes a relaxed structure of BiC4. The functional is GGA-PBE.

Geometry as extended XYZ:
```
5
Lattice="4.5195 0.0000 0.0000 0.0000 4.5195 0.0000 0.0000 0.0000 4.5195" Properties=species:S:1:pos:R:3 pbc="T T T"
Bi 0.0000 0.0000 0.0000
C 0.0000 0.0000 2.2598
C 0.0000 2.2598 0.0000
C 2.2598 0.0000 0.0000
C 2.2598 2.2598 2.2598
```

Computed properties:
Formation energy from the elements, eV/atom: 4.6445
Space group: Pm-3m

=====

Entry 12:
This record from the Alexandria database describes a relaxed structure of BiC. The functional is GGA-PBE.

Geometry as extended XYZ:
```
2
Lattice="0.0000 2.5669 2.5669 2.5669 0.0000 2.5669 2.5669 2.5669 0.0000" Properties=species:S:1:pos:R:3 pbc="T T T"
Bi 0.0000 0.0000 0.0000
C 2.5669 2.5669 2.5669
```

Computed properties:
Formation energy from the elements, eV/atom: 1.6971
Space group: Fm-3m
ΔE to the lowest computed polymorph, eV per atom: 0.084

=====

Entry 13:
This record from the Alexandria database describes a relaxed structure of BiC. The functional is GGA-PBE.

Geometry as extended XYZ:
```
2
Lattice="0.0000 2.7934 2.7934 2.7934 0.0000 2.7934 2.7934 2.7934 0.0000" Properties=species:S:1:pos:R:3 pbc="T T T"
Bi 0.0000 0.0000 0.0000
C 1.3967 1.3967 1.3967
```

Computed properties:
Formation energy from the elements, eV/atom: 1.7121
Space group: F-43m
ΔE to the lowest computed polymorph, eV per atom: 0.099

=====

Entry 14:
This record from the Alexandria database describes a relaxed structure of BiC. The functional is GGA-PBE.

Geometry as extended XYZ:
```
8
Lattice="6.1085 0.0000 0.0000 0.0000 6.1085 0.0000 0.0000 0.0000 4.4770" Properties=species:S:1:pos:R:3 pbc="T T T"
Bi 1.1966 1.1966 0.0000
Bi 1.8576 4.2508 2.2385
Bi 4.2508 1.8576 2.2385
Bi 4.9119 4.9119 0.0000
C 1.1847 4.9237 0.0000
C 1.8695 1.8695 2.2385
C 4.2390 4.2390 2.2385
C 4.9237 1.1847 0.0000
```

Computed properties:
Formation energy from the elements, eV/atom: 1.6687
Space group: P4_2/mnm
ΔE to the lowest computed polymorph, eV per atom: 0.055

=====

Entry 15:
This record from the Alexandria database describes a relaxed structure of BiC. The functional is GGA-PBE.

Geometry as extended XYZ:
```
12
Lattice="6.8362 0.0000 0.0000 0.0000 6.8362 0.0000 0.0000 0.0000 6.8362" Properties=species:S:1:pos:R:3 pbc="T T T"
Bi 0.0000 1.7091 3.4181
Bi 0.0000 5.1272 3.4181
Bi 1.7091 3.4181 0.0000
Bi 3.4181 0.0000 1.7091
Bi 3.4181 0.0000 5.1272
Bi 5.1272 3.4181 0.0000
C 0.0000 3.4181 1.7091
C 0.0000 3.4181 5.1272
C 1.7091 0.0000 3.4181
C 3.4181 1.7091 0.0000
C 3.4181 5.1272 0.0000
C 5.1272 0.0000 3.4181
```

Computed properties:
Formation energy from the elements, eV/atom: 1.8040
Space group: Pm-3n
ΔE to the lowest computed polymorph, eV per atom: 0.191

=====

Entry 16:
This record from the Alexandria database describes a relaxed structure of BiC. The functional is GGA-PBE.

Geometry as extended XYZ:
```
16
Lattice="5.8733 0.0000 0.0000 0.0000 5.8938 0.0000 0.0000 0.0000 9.4709" Properties=species:S:1:pos:R:3 pbc="T T T"
Bi 1.2696 0.2147 2.4047
Bi 1.3804 2.7351 0.0177
Bi 1.5563 3.1586 4.7531
Bi 1.6671 5.6791 7.1401
Bi 4.2062 2.7322 7.0662
Bi 4.3171 0.2118 9.4531
Bi 4.4929 5.6820 4.7177
Bi 4.6038 3.1615 2.3308
C 0.9572 5.4201 4.8063
C 0.9666 2.5490 2.5740
C 1.9701 3.3448 7.3094
C 1.9795 0.4736 0.0708
C 3.8938 3.4205 4.6646
C 3.9032 0.3979 6.8969
C 4.9068 5.4959 2.1614
C 4.9162 2.4733 9.4000
```

Computed properties:
Formation energy from the elements, eV/atom: 1.6864
Space group: P2_12_12_1
ΔE to the lowest computed polymorph, eV per atom: 0.073

=====

Entry 17:
This record from the Alexandria database describes a relaxed structure of BiC. The functional is GGA-PBE.

Geometry as extended XYZ:
```
4
Lattice="4.2344 0.0000 0.0000 -2.1172 3.6671 0.0000 0.0000 0.0000 5.1124" Properties=species:S:1:pos:R:3 pbc="T T T"
Bi 0.0000 2.4447 1.2781
Bi 2.1172 1.2224 3.8343
C 0.0000 2.4447 3.8343
C 2.1172 1.2224 1.2781
```

Computed properties:
Formation energy from the elements, eV/atom: 1.6542
Space group: P6_3/mmc
ΔE to the lowest computed polymorph, eV per atom: 0.041

=====

Entry 18:
This record from the Alexandria database describes a relaxed structure of BiC. The functional is GGA-PBE.

Geometry as extended XYZ:
```
12
Lattice="3.7110 0.0000 0.0000 0.0000 12.8214 0.0000 0.0000 0.0000 5.1440" Properties=species:S:1:pos:R:3 pbc="T T T"
Bi 0.9278 0.9440 1.2707
Bi 0.9278 5.4667 1.2707
Bi 0.9278 9.6161 1.2831
Bi 2.7833 3.2054 3.8610
Bi 2.7833 7.3547 3.8734
Bi 2.7833 11.8774 3.8734
C 0.9278 3.2054 0.1406
C 0.9278 7.6849 2.5039
C 0.9278 11.5472 2.5039
C 2.7833 1.2742 2.6402
C 2.7833 5.1365 2.6402
C 2.7833 9.6161 5.0034
```

Computed properties:
Formation energy from the elements, eV/atom: 1.6134
Space group: Pmmn
ΔE to the lowest computed polymorph, eV per atom: 0.000

=====

Entry 19:
This record from the Alexandria database describes a relaxed structure of BiC. The functional is GGA-PBE.

Geometry as extended XYZ:
```
12
Lattice="11.5164 0.0000 0.0000 0.0000 3.6358 0.0000 0.0000 0.0000 6.0114" Properties=species:S:1:pos:R:3 pbc="T T T"
Bi 0.0000 0.1114 0.0000
Bi 2.0573 1.0986 3.3067
Bi 3.7009 2.5372 0.3010
Bi 5.7582 3.5244 3.0057
Bi 7.8155 2.5372 0.3010
Bi 9.4591 1.0986 3.3067
C 0.0000 1.8586 4.4357
C 2.4222 0.7452 5.5732
C 3.3360 2.8906 2.5675
C 5.7582 1.7772 1.4300
C 8.1804 2.8906 2.5675
C 9.0942 0.7452 5.5732
```

Computed properties:
Formation energy from the elements, eV/atom: 1.6872
Space group: Pmn2_1
ΔE to the lowest computed polymorph, eV per atom: 0.074